Entry 1:
RbPrTlSe3 | PBE | relaxed

**Theoretical density**: 5.1 Mg/m³
**Crystal system**: monoclinic
**Magnetic moment**: 0.00 μB per cell
**Final energy**: -4.217 eV/atom

Cell lengths 4.6732, 8.8037, 10.9685 Å; angles 107.03, 90.00, 90.00 degrees
Sites, in units of the cell vectors:
Se  0.7500  0.2626  0.5736
Se  0.2500  0.0818  0.8577
Se  0.7500  0.9182  0.1423
Se  0.7500  0.4714  0.1452
Se  0.2500  0.7374  0.4264
Se  0.2500  0.5286  0.8548
Pr  0.7500  0.3156  0.8737
Pr  0.2500  0.6844  0.1263
Tl  0.2500  0.0957  0.6060
Tl  0.7500  0.9043  0.3940
Rb  0.7500  0.7490  0.7369
Rb  0.2500  0.2510  0.2631

Entry 2:
RbPrTm4Se8 | PBE | relaxed

**Theoretical density**: 5.6 Mg/m³
**Crystal system**: trigonal
**Magnetic moment**: 0.00 μB per cell
**Final energy**: -5.372 eV/atom

Cell lengths 8.5129, 8.5129, 8.7329 Å; angles 60.83, 60.83, 60.00 degrees
Sites, in units of the cell vectors:
Tm  0.6259  0.6259  0.1223
Tm  0.4872  0.0039  0.5051
Tm  0.0039  0.4872  0.5051
Tm  0.0039  0.0039  0.5051
Se  0.2425  0.2425  0.7162
Se  0.7570  0.7570  0.7290
Se  0.7988  0.2425  0.7162
Se  0.2323  0.7519  0.2640
Se  0.7519  0.2323  0.2640
Se  0.2291  0.2291  0.3127
Se  0.7519  0.7519  0.2640
Se  0.2425  0.7988  0.7162
Pr  0.0060  0.0060  0.9819
Rb  0.3672  0.3672  0.8984

Entry 3:
Rb2PrTmSe4 | PBE | relaxed

**Theoretical density**: 5.1 Mg/m³
**Crystal system**: monoclinic
**Magnetic moment**: 0.00 μB per cell
**Final energy**: -4.860 eV/atom

Cell lengths 4.3025, 7.4564, 8.3858 Å; angles 107.21, 90.00, 90.00 degrees
Sites, in units of the cell vectors:
Pr  0.5000  0.5000  0.0000
Rb  0.5000  0.0000  0.5000
Rb  0.0000  0.5000  0.5000
Se  0.0000  0.7450  0.1999
Se  0.5000  0.7794  0.8050
Se  0.0000  0.2550  0.8001
Se  0.5000  0.2206  0.1950
Tm  0.0000  0.0000  0.0000